A plane-wave DFT calculation with GGA-PBE was carried out for a geometry-optimized Ac8Ir3PtS4 structure.

Geometry as POSCAR:
```
Ac8Ir3PtS4
1.0
4.285 2.474 7.507
-4.285 2.474 7.507
0.000 -4.947 7.507
Ac Ir Pt S
8 3 1 4
Cartesian
-2.176 -1.256 13.015
0.000 0.000 5.499
0.000 -2.512 9.505
-2.176 1.256 9.505
2.176 -1.256 13.015
0.000 2.512 13.015
0.000 0.000 17.021
2.176 1.256 9.505
-4.285 0.000 11.260
-2.142 1.237 3.753
2.142 1.237 3.753
0.000 0.000 11.260
0.000 0.000 0.000
-2.142 -1.237 7.507
-2.142 1.237 15.014
0.000 2.474 7.507
```

Its theoretical density is 9.45 g cm⁻³. For the size of the total moment, the calculation gives 0.0000 μB/atom. The value obtained for the volume is 477 Å³ per cell. The value obtained for the uncorrected energy is -6.49 eV per atom.

A plane-wave DFT calculation with GGA-PBE was carried out for a geometry-optimized Ac6Ir2Pt3S structure.

Geometry as POSCAR:
```
Ac6Ir2Pt3S
1.0
9.514 -2.171 0.000
9.514 2.171 0.000
-2.036 0.000 8.589
Ac Ir Pt S
6 2 3 1
Cartesian
-0.436 0.000 2.212
4.440 0.000 7.780
5.430 0.000 3.627
11.562 0.000 4.961
12.552 0.000 0.809
17.428 0.000 6.377
2.457 0.000 2.836
14.536 0.000 5.753
1.378 0.000 7.156
8.496 0.000 4.294
15.614 0.000 1.433
9.514 0.000 0.000
```

Its theoretical density is 11.06 g cm⁻³. For the size of the total moment, the calculation gives 0.0000 μB/atom. The value obtained for the volume is 355 Å³ per cell. The value obtained for the uncorrected energy is -6.49 eV per atom.

A plane-wave DFT calculation with GGA-PBE was carried out for a geometry-optimized Ac6IrPt2S3 structure.

Geometry as POSCAR:
```
Ac6IrPt2S3
1.0
3.717 -6.444 0.000
3.717 6.444 0.000
-2.486 0.000 7.568
Ac Ir Pt S
6 1 2 3
Cartesian
1.210 2.101 1.781
-0.060 0.000 5.795
1.210 -2.101 1.781
3.739 2.101 5.787
5.009 0.000 1.773
3.739 -2.101 5.787
0.000 0.000 0.000
3.717 2.150 0.000
3.717 -2.150 0.000
2.475 4.297 3.784
2.475 0.000 3.784
2.475 -4.297 3.784
```

Its theoretical density is 9.35 g cm⁻³. For the size of the total moment, the calculation gives 0.0000 μB/atom. The value obtained for the volume is 363 Å³ per cell. The value obtained for the uncorrected energy is -6.31 eV per atom.

A plane-wave DFT calculation with GGA-PBE was carried out for a geometry-optimized Ac6Ir2PtS3 structure.

Geometry as POSCAR:
```
Ac6Ir2PtS3
1.0
3.715 -6.434 0.000
3.715 6.434 0.000
-2.479 0.000 7.516
Ac Ir Pt S
6 2 1 3
Cartesian
-0.030 2.193 5.763
1.181 0.000 1.762
-0.030 -2.193 5.763
4.980 2.193 1.753
3.769 0.000 5.754
4.980 -2.193 1.753
3.715 4.292 0.000
3.715 -4.292 0.000
3.715 0.000 0.000
-1.240 0.000 3.758
2.475 2.145 3.758
2.475 -2.145 3.758
```

Its theoretical density is 9.42 g cm⁻³. For the size of the total moment, the calculation gives 0.0000 μB/atom. The value obtained for the volume is 359 Å³ per cell. The value obtained for the uncorrected energy is -6.46 eV per atom.

A plane-wave DFT calculation with GGA-PBE was carried out for a geometry-optimized Ac2Sb3IrPt4 structure.

Geometry as POSCAR:
```
Ac2Sb3IrPt4
1.0
4.679 0.000 0.000
0.000 4.679 0.000
0.000 0.000 10.566
Ac Sb Ir Pt
2 3 1 4
Cartesian
0.000 2.340 2.625
2.340 0.000 7.941
0.000 0.000 0.000
0.000 2.340 6.641
2.340 0.000 3.925
2.340 2.340 0.000
0.000 0.000 5.283
0.000 2.340 9.281
2.340 0.000 1.285
2.340 2.340 5.283
```

Its theoretical density is 12.86 g cm⁻³. For the size of the total moment, the calculation gives 0.0014 μB/atom. The value obtained for the volume is 231 Å³ per cell. The value obtained for the uncorrected energy is -6.07 eV per atom.

A plane-wave DFT calculation with GGA-PBE was carried out for a geometry-optimized Ac2ScIrPt structure.

Geometry as POSCAR:
```
Ac2ScIrPt
1.0
4.374 0.000 0.000
0.000 4.374 0.000
0.000 0.000 14.969
Ac Sc Ir Pt
4 2 2 2
Cartesian
1.093 1.093 1.473
1.093 1.093 10.534
3.280 3.280 4.435
3.280 3.280 13.496
1.093 3.280 7.484
3.280 1.093 7.484
1.093 1.093 13.335
3.280 3.280 1.634
1.093 1.093 5.839
3.280 3.280 9.130
```

Its theoretical density is 10.28 g cm⁻³. For the size of the total moment, the calculation gives 0.0000 μB/atom. The value obtained for the volume is 286 Å³ per cell. For the formation enthalpy at 0 K, the calculation gives -4.0 eV/f.u.

> Look up the size of the total moment of the first one.

0.0000 μB/atom

> Look up the size of the total moment of the first one.

0.0000 μB/atom

> Which formula does entry 1 have?

Ac8Ir3PtS4

> Which formula does entry 3 have?

Ac6IrPt2S3